A geometry-optimized Zn2SiPt structure. Source: Alexandria, functional GGA-PBE.

Results
Uncorrected formation energy ... -0.205 eV/atom
Space group ... P4mm, No. 99
M_tot ... 0.000 μB/f.u.

a = 3.3914 Å, b = 3.3914 Å, c = 5.2058 Å
α = 90.00°, β = 90.00°, γ = 90.00°
With the nearest neighbours (Å) after each atom.
Positions (direct):
Zn: 0.0000 0.0000 0.0167  2 Pt 2.55-2.66, 4 Zn 2.65, 4 Si 2.85
Pt: 0.0000 0.0000 0.5267  6 Zn 2.55-2.84, 4 Si 2.61
Si: 0.5000 0.5000 0.7225  6 Zn 2.54-2.85, 4 Pt 2.61
Zn: 0.5000 0.5000 0.2342  2 Si 2.54-2.66, 4 Zn 2.65, 4 Pt 2.84

A geometry-optimized ZnSi3Pt structure. Source: Alexandria, functional GGA-PBE.

Results
Uncorrected formation energy ... 0.586 eV/atom
Space group ... Pm-3m, No. 221
M_tot ... 0.000 μB/f.u.
E above lowest polymorph ... 0.0000 eV/atom

a = 4.7374 Å, b = 4.7374 Å, c = 4.7374 Å
α = 90.00°, β = 90.00°, γ = 90.00°
With the nearest neighbours (Å) after each atom.
Positions (direct):
Zn: 0.5000 0.5000 0.5000  12 Si 3.35
Si: 0.0000 0.0000 0.5000  2 Pt 2.37
Pt: 0.0000 0.0000 0.0000  6 Si 2.37
Si: 0.5000 0.0000 0.0000  2 Pt 2.37
Si: 0.0000 0.5000 0.0000  2 Pt 2.37

A geometry-optimized Zn2SiPt structure. Source: Alexandria, functional GGA-PBE.

Results
Uncorrected formation energy ... 0.041 eV/atom
Space group ... I-42d, No. 122
M_tot ... 0.000 μB/f.u.

a = 7.4917 Å, b = 7.4917 Å, c = 5.8174 Å
α = 49.92°, β = 49.92°, γ = 90.00°
With the nearest neighbours (Å) after each atom.
Positions (direct):
Si: 0.2500 0.7500 0.5000  2 Pt 2.40
Si: 0.5000 0.5000 0.0000  2 Pt 2.40
Zn: 0.6422 0.1250 0.2500  2 Zn 2.42, 2 Pt 2.63
Zn: 0.8750 0.8922 0.7500  2 Zn 2.42, 2 Pt 2.63
Pt: 0.0000 0.0000 0.0000  2 Si 2.40, 4 Zn 2.63
Zn: 0.3750 0.3578 0.7500  2 Zn 2.42, 2 Pt 2.63
Pt: 0.7500 0.2500 0.5000  2 Si 2.40, 4 Zn 2.63
Zn: 0.1078 0.6250 0.2500  2 Zn 2.42, 2 Pt 2.63

A geometry-optimized ZnSi2Pt structure. Source: Alexandria, functional GGA-PBE.

Results
Uncorrected formation energy ... -0.120 eV/atom
Space group ... Pm, No. 6
M_tot ... 0.000 μB/f.u.

a = 3.4266 Å, b = 3.6776 Å, c = 5.4069 Å
α = 65.82°, β = 90.00°, γ = 90.00°
With the nearest neighbours (Å) after each atom.
Positions (direct):
Si: 0.0000 0.8715 0.0455  2 Pt 2.48, 2 Zn 2.49-2.72, 4 Si 2.57-2.68
Zn: 0.0000 0.4851 0.5460  2 Si 2.49-2.72, 4 Pt 2.64
Si: 0.5000 0.2563 0.1991  2 Pt 2.53-2.71, 4 Si 2.57-2.68
Pt: 0.5000 0.8871 0.7094  4 Si 2.48-2.71, 4 Zn 2.64

A geometry-optimized Zn2Si2Pt structure. Source: Alexandria, functional GGA-PBE.

Results
Uncorrected formation energy ... -0.113 eV/atom
Space group ... P4/mbm, No. 127
M_tot ... 0.000 μB/f.u.

a = 6.1779 Å, b = 6.1779 Å, c = 4.2238 Å
α = 90.00°, β = 90.00°, γ = 90.00°
With the nearest neighbours (Å) after each atom.
Positions (direct):
Zn: 0.3290 0.1710 0.5000  6 Si 2.71-2.84, 1 Zn 2.99
Si: 0.1346 0.3654 0.0000  1 Si 2.35, 2 Pt 2.41
Zn: 0.6710 0.8290 0.5000  6 Si 2.71-2.84, 1 Zn 2.99
Pt: 0.5000 0.5000 0.0000  4 Si 2.41
Si: 0.8654 0.6346 0.0000  1 Si 2.35, 2 Pt 2.41
Si: 0.3654 0.8654 0.0000  1 Si 2.35, 2 Pt 2.41
Zn: 0.1710 0.6710 0.5000  6 Si 2.71-2.84, 1 Zn 2.99
Si: 0.6346 0.1346 0.0000  1 Si 2.35, 2 Pt 2.41
Zn: 0.8290 0.3290 0.5000  6 Si 2.71-2.84, 1 Zn 2.99
Pt: 0.0000 0.0000 0.0000  4 Si 2.41

A geometry-optimized ZnSi2Pt structure. Source: Alexandria, functional GGA-PBE.

Results
Uncorrected formation energy ... -0.003 eV/atom
Space group ... Fmmm, No. 69
M_tot ... 0.000 μB/f.u.

a = 3.7544 Å, b = 5.1744 Å, c = 3.7506 Å
α = 68.82°, β = 89.83°, γ = 111.21°
With the nearest neighbours (Å) after each atom.
Positions (direct):
Si: 0.5000 0.0000 0.5000  2 Pt 2.59, 2 Zn 2.59, 4 Si 2.65-2.66
Zn: 0.0000 0.5000 0.5000  4 Si 2.59, 4 Pt 2.65-2.66
Si: 0.0000 0.0000 0.0000  2 Zn 2.59, 2 Pt 2.59, 4 Si 2.65-2.66
Pt: 0.5000 0.5000 0.0000  4 Si 2.59, 4 Zn 2.65-2.66

A geometry-optimized ZnSi2Pt structure. Source: Alexandria, functional GGA-PBE.

Results
Uncorrected formation energy ... 0.012 eV/atom
Space group ... Pmmm, No. 47
M_tot ... 0.000 μB/f.u.

a = 2.7631 Å, b = 3.0526 Å, c = 7.3181 Å
α = 90.00°, β = 90.00°, γ = 90.00°
With the nearest neighbours (Å) after each atom.
Positions (direct):
Zn: 0.5000 0.5000 0.2500  4 Zn 2.76-3.05, 8 Si 2.85
Si: 0.0000 0.0000 0.5192  4 Pt 2.66, 2 Si 2.76, 4 Zn 2.85
Pt: 0.5000 0.5000 0.7500  8 Si 2.66, 2 Pt 2.76
Si: 0.0000 0.0000 0.9808  4 Pt 2.66, 2 Si 2.76, 4 Zn 2.85

A geometry-optimized Zn2SiPt8 structure. Source: Alexandria, functional GGA-PBE.

Results
Uncorrected formation energy ... -0.364 eV/atom
Space group ... C2/m, No. 12
M_tot ... 0.000 μB/f.u.
E above lowest polymorph ... 0.0000 eV/atom

a = 4.0548 Å, b = 5.4755 Å, c = 8.3763 Å
α = 107.60°, β = 104.01°, γ = 90.00°
With the nearest neighbours (Å) after each atom.
Positions (direct):
Pt: 0.6414 0.9612 0.2827  1 Si 2.37, 2 Zn 2.56
Si: 0.5000 0.0000 0.0000  8 Pt 2.37-2.50
Pt: 0.9826 0.2453 0.9652  2 Si 2.50, 1 Pt 2.67, 1 Zn 2.75
Pt: 0.0174 0.7547 0.0348  2 Si 2.50, 1 Pt 2.67, 1 Zn 2.75
Pt: 0.3917 0.5759 0.7834  1 Si 2.44, 2 Zn 2.72
Pt: 0.6083 0.4241 0.2166  1 Si 2.44, 2 Zn 2.72
Zn: 0.8146 0.2549 0.6292  9 Pt 2.56-2.77
Pt: 0.7854 0.6990 0.5707  4 Zn 2.62-2.93, 5 Pt 2.76-2.88
Pt: 0.2146 0.3010 0.4293  4 Zn 2.62-2.93, 5 Pt 2.76-2.88
Zn: 0.1854 0.7451 0.3708  9 Pt 2.56-2.77
Pt: 0.3586 0.0388 0.7173  1 Si 2.37, 2 Zn 2.56